(1)
Entry from the Alexandria database: a relaxed structure of Pr4Pb2N (PBE).

Values from the calculation:
ΔE_f (raw): -748.8 meV/atom
D(E_F): 4.51 states/eV/f.u.
SG: I4/mmm (139)

Geometry as POSCAR:
```
Pr4Pb2N
1.0
-4.7556 -0.1818 -1.5029
0.0057 -4.9568 0.5818
-4.9262 -1.6380 7.4993
Pb Pr N
2 4 1
direct
0.6429 0.6429 0.7143
0.3571 0.3571 0.2857
0.8408 0.8408 0.3185
0.1592 0.1592 0.6815
0.0000 0.5000 0.0000
0.5000 0.0000 0.0000
0.0000 0.0000 0.0000
```

=====

(2)
Entry from the Alexandria database: a relaxed structure of Ti4Bi2O (PBE).

Values from the calculation:
ΔE_f (raw): -758.2 meV/atom
D(E_F): 7.95 states/eV/f.u.
SG: I4/mmm (139)

Geometry as POSCAR:
```
Ti4Bi2O
1.0
-1.8994 3.6583 1.0154
-3.0491 -2.1464 2.0293
1.3443 1.0575 7.5790
Bi O Ti
2 1 4
direct
0.3486 0.3486 0.3028
0.6514 0.6514 0.6972
0.0000 0.0000 0.0000
0.1418 0.1418 0.7163
0.8582 0.8582 0.2837
0.0000 0.5000 0.0000
0.5000 0.0000 0.0000
```

=====

Copy entry 1 word for word.
Entry from the Alexandria database: a relaxed structure of Pr4Pb2N (PBE).

Values from the calculation:
ΔE_f (raw): -748.8 meV/atom
D(E_F): 4.51 states/eV/f.u.
SG: I4/mmm (139)

Geometry as POSCAR:
```
Pr4Pb2N
1.0
-4.7556 -0.1818 -1.5029
0.0057 -4.9568 0.5818
-4.9262 -1.6380 7.4993
Pb Pr N
2 4 1
direct
0.6429 0.6429 0.7143
0.3571 0.3571 0.2857
0.8408 0.8408 0.3185
0.1592 0.1592 0.6815
0.0000 0.5000 0.0000
0.5000 0.0000 0.0000
0.0000 0.0000 0.0000
```